Record 1
This record from the Open Quantum Materials Database describes a geometry-optimized ThScAs structure. The functional is PBE.

abc: 5.027 5.027 5.027
angles: 60.00 60.00 60.00
Each line ends with the local moment (μB).
Positions (direct):
As (0.250, 0.250, 0.250)  -0.03
Sc (0.750, 0.750, 0.750)  0.90
Th (0.000, 0.000, 0.000)  0.67

Results
As for the energy: -5.73 eV/atom.

=====

Record 2
This record from the Open Quantum Materials Database describes a geometry-optimized TmSc2As3 structure. The functional is PBE.

abc: 3.932 3.932 9.614
angles: 90.00 90.00 120.00
Positions (direct):
As (0.000, 0.000, 0.000)
As (0.333, 0.667, 0.323)
As (0.667, 0.333, 0.677)
Sc (0.667, 0.333, 0.162)
Sc (0.333, 0.667, 0.838)
Tm (0.000, 0.000, 0.500)

Results
As for the energy: -6.59 eV/atom.

=====

Record 3
This record from the Open Quantum Materials Database describes a geometry-optimized ScZnAs structure. The functional is PBE.

abc: 4.504 4.504 4.504
angles: 60.00 60.00 60.00
Positions (direct):
As (0.250, 0.250, 0.250)
Sc (0.000, 0.000, 0.000)
Zn (0.750, 0.750, 0.750)

Results
As for the energy: -4.49 eV/atom.

=====

Record 4
This record from the Open Quantum Materials Database describes a geometry-optimized Zr2ScAs structure. The functional is PBE.

abc: 4.842 4.842 4.842
angles: 60.00 60.00 60.00
Each line ends with the local moment (μB).
Positions (direct):
As (0.500, 0.500, 0.500)  -0.01
Sc (0.250, 0.250, 0.250)  0.06
Zr (0.000, 0.000, 0.000)  0.38
Zr (0.750, 0.750, 0.750)  0.15

Results
As for the energy: -7.22 eV/atom.

=====

Record 5
This record from the Open Quantum Materials Database describes a geometry-optimized Sm4As3Se structure. The functional is PBE.

abc: 7.277 7.277 4.202
angles: 90.00 90.00 109.41
Positions (direct):
As (0.500, 0.500, 0.000)
As (0.500, 0.000, 0.500)
As (0.000, 0.500, 0.500)
Se (0.000, 0.000, 0.000)
Sm (0.747, 0.253, 0.000)
Sm (0.253, 0.747, 0.000)
Sm (0.256, 0.256, 0.500)
Sm (0.744, 0.744, 0.500)

Results
As for the energy: -6.19 eV/atom.

=====

Record 6
This record from the Open Quantum Materials Database describes a geometry-optimized Sm3AsSe2 structure. The functional is PBE.

abc: 4.190 4.190 10.240
angles: 90.00 90.00 120.00
Positions (direct):
As (0.000, 0.000, 0.500)
Se (0.333, 0.667, 0.166)
Se (0.667, 0.333, 0.834)
Sm (0.000, 0.000, 0.000)
Sm (0.667, 0.333, 0.340)
Sm (0.333, 0.667, 0.660)

Results
As for the energy: -6.06 eV/atom.

=====

Record 7
This record from the Open Quantum Materials Database describes a geometry-optimized Sm3AsSe2 structure. The functional is PBE.

abc: 7.271 7.271 7.271
angles: 146.65 132.09 59.63
Positions (direct):
As (0.000, 0.000, 0.000)
Se (0.332, 0.332, 0.000)
Se (0.668, 0.668, 0.000)
Sm (0.500, 0.000, 0.500)
Sm (0.840, 0.340, 0.500)
Sm (0.160, 0.660, 0.500)

Results
As for the energy: -6.07 eV/atom.

=====

Record 8
This record from the Open Quantum Materials Database describes a geometry-optimized Tb3As2Se structure. The functional is PBE.

abc: 7.135 7.135 7.135
angles: 146.41 131.85 59.99
Positions (direct):
As (0.335, 0.335, 0.000)
As (0.665, 0.665, 0.000)
Se (0.000, 0.000, 0.000)
Tb (0.500, 0.000, 0.500)
Tb (0.828, 0.328, 0.500)
Tb (0.172, 0.672, 0.500)

Results
As for the energy: -6.13 eV/atom.

=====

Record 9
This record from the Open Quantum Materials Database describes a geometry-optimized Tb3As2Se structure. The functional is PBE.

abc: 4.121 4.121 10.105
angles: 90.00 90.00 120.00
Positions (direct):
As (0.333, 0.667, 0.333)
As (0.667, 0.333, 0.667)
Se (0.000, 0.000, 0.000)
Tb (0.667, 0.333, 0.176)
Tb (0.000, 0.000, 0.500)
Tb (0.333, 0.667, 0.824)

Results
As for the energy: -6.12 eV/atom.

=====

Record 10
This record from the Open Quantum Materials Database describes a geometry-optimized Tb3AsSe2 structure. The functional is PBE.

abc: 7.133 7.133 7.133
angles: 146.63 132.10 59.63
Positions (direct):
As (0.000, 0.000, 0.000)
Se (0.332, 0.332, 0.000)
Se (0.668, 0.668, 0.000)
Tb (0.500, 0.000, 0.500)
Tb (0.841, 0.341, 0.500)
Tb (0.159, 0.659, 0.500)

Results
As for the energy: -6.00 eV/atom.

=====

Record 11
This record from the Open Quantum Materials Database describes a geometry-optimized TbAsSe structure. The functional is PBE.

abc: 3.918 17.568 5.562
angles: 90.00 134.74 90.00
Positions (direct):
As (0.966, 0.001, 0.216)
As (0.034, 0.501, 0.284)
As (0.966, 0.499, 0.716)
As (0.034, 0.999, 0.784)
Se (0.492, 0.188, 0.242)
Se (0.508, 0.688, 0.258)
Se (0.492, 0.312, 0.742)
Se (0.508, 0.812, 0.758)
Tb (0.489, 0.361, 0.239)
Tb (0.511, 0.861, 0.261)
Tb (0.489, 0.139, 0.739)
Tb (0.511, 0.639, 0.761)

Results
As for the energy: -5.71 eV/atom.

=====

Record 12
This record from the Open Quantum Materials Database describes a geometry-optimized Tb3AsSe2 structure. The functional is PBE.

abc: 4.109 4.109 10.024
angles: 90.00 90.00 120.00
Positions (direct):
As (0.000, 0.000, 0.000)
Se (0.333, 0.667, 0.335)
Se (0.667, 0.333, 0.665)
Tb (0.667, 0.333, 0.162)
Tb (0.000, 0.000, 0.500)
Tb (0.333, 0.667, 0.838)

Results
As for the energy: -5.99 eV/atom.